VASP calculation (PBE) on PmPrTeBr after structural relaxation.

a b c (Å): 5.380 5.380 5.380
angles (deg): 60.00 60.00 60.00
Element x y z (fractional)
1 Br 0.750 0.750 0.750
2 Pm 0.000 0.000 0.000
3 Te 0.250 0.250 0.250
4 Pr 0.500 0.500 0.500

Summary:
Energy ... -4.82 eV/atom

---

VASP calculation (PBE) on PmPrTlBr after structural relaxation.

a b c (Å): 5.484 5.484 5.484
angles (deg): 60.00 60.00 60.00
Element x y z (fractional)
1 Pm 0.000 0.000 0.000
2 Br 0.250 0.250 0.250
3 Tl 0.750 0.750 0.750
4 Pr 0.500 0.500 0.500

Summary:
Energy ... -4.00 eV/atom

---

VASP calculation (PBE) on Pm2PtBr after structural relaxation.

a b c (Å): 4.185 4.185 8.203
angles (deg): 75.22 75.22 60.00
Element x y z (fractional)
1 Pm 0.269 0.269 0.192
2 Pm 0.066 0.066 0.803
3 Br 0.498 0.498 0.507
4 Pt 0.667 0.667 0.998

Summary:
Polymorph energy (0 for the lowest one) ... 23 meV per atom

---

VASP calculation (PBE) on Pm2PtBr after structural relaxation.

a b c (Å): 4.199 4.199 8.075
angles (deg): 105.07 90.00 120.00
Element x y z (fractional)
1 Pm 0.733 0.965 0.698
2 Pm 0.267 0.035 0.302
3 Br 0.500 0.500 0.000
4 Pt 0.000 0.500 0.500

Summary:
Polymorph energy (0 for the lowest one) ... 0 meV per atom

---

VASP calculation (PBE) on Pm4Pt2Br3 after structural relaxation.

a b c (Å): 4.149 4.149 18.701
angles (deg): 90.03 89.97 120.01
Element x y z (fractional)
1 Pm 0.001 0.999 0.702
2 Pm 0.666 0.334 0.125
3 Pm 0.334 0.666 0.875
4 Pm 0.999 0.001 0.298
5 Br 0.666 0.334 0.400
6 Br 0.334 0.666 0.600
7 Br 0.000 0.000 0.000
8 Pt 0.333 0.667 0.206
9 Pt 0.667 0.333 0.794

Summary:
Energy ... -5.40 eV/atom

---

VASP calculation (PBE) on Pm2PtBr after structural relaxation.

a b c (Å): 3.533 3.533 8.258
angles (deg): 90.00 90.00 90.00
Element x y z (fractional)
1 Pm 0.000 0.000 0.788
2 Pm 0.000 0.000 0.212
3 Br 0.500 0.500 0.500
4 Pt 0.500 0.500 0.000

Summary:
Polymorph energy (0 for the lowest one) ... 199 meV per atom

---

VASP calculation (PBE) on Pm3PtBr after structural relaxation.

a b c (Å): 3.886 9.862 8.096
angles (deg): 90.00 90.00 90.00
Element x y z (fractional)
1 Pt 0.250 0.750 0.003
2 Pt 0.750 0.250 0.997
3 Br 0.750 0.250 0.440
4 Br 0.250 0.750 0.560
5 Pm 0.750 0.931 0.829
6 Pm 0.750 0.750 0.256
7 Pm 0.250 0.069 0.171
8 Pm 0.250 0.431 0.171
9 Pm 0.750 0.569 0.829
10 Pm 0.250 0.250 0.744

Summary:
Energy ... -5.22 eV/atom

---

VASP calculation (PBE) on Pm2PtBr3 after structural relaxation.

a b c (Å): 4.252 9.183 10.802
angles (deg): 74.74 78.65 76.61
Element x y z (fractional)
1 Br 0.046 0.141 0.767
2 Br 0.233 0.150 0.384
3 Br 0.767 0.850 0.616
4 Br 0.663 0.691 0.983
5 Br 0.337 0.309 0.017
6 Br 0.954 0.859 0.233
7 Pt 0.567 0.498 0.368
8 Pt 0.433 0.502 0.632
9 Pm 0.142 0.528 0.189
10 Pm 0.858 0.472 0.811
11 Pm 0.392 0.781 0.435
12 Pm 0.608 0.219 0.565

Summary:
Energy ... -4.94 eV/atom

---

VASP calculation (PBE) on Pm2PtBr2 after structural relaxation.

a b c (Å): 4.118 4.118 11.387
angles (deg): 79.58 79.58 60.00
Element x y z (fractional)
1 Pt 0.000 0.000 0.000
2 Pm 0.384 0.384 0.849
3 Pm 0.616 0.616 0.151
4 Br 0.775 0.775 0.675
5 Br 0.225 0.225 0.325

Summary:
Energy ... -5.27 eV/atom

---

VASP calculation (PBE) on Pm8PtRh3Br4 after structural relaxation.

a b c (Å): 8.253 9.103 8.253
angles (deg): 116.95 120.00 90.00
Element x y z (fractional)
1 Br 0.500 0.000 0.000
2 Br 0.000 0.000 0.000
3 Br 0.500 0.000 0.500
4 Br 0.000 0.000 0.500
5 Rh 0.000 0.500 0.500
6 Rh 0.500 0.500 0.000
7 Rh 0.500 0.500 0.500
8 Pm 0.234 0.696 0.469
9 Pm 0.268 0.304 0.536
10 Pm 0.732 0.696 0.464
11 Pm 0.273 0.304 0.039
12 Pm 0.727 0.696 0.961
13 Pm 0.766 0.304 0.039
14 Pm 0.766 0.304 0.531
15 Pm 0.234 0.696 0.961
16 Pt 0.000 0.500 0.000

Summary:
Energy ... -5.68 eV/atom

---

VASP calculation (PBE) on Pm4PtRhBr2 after structural relaxation.

a b c (Å): 4.151 8.105 7.214
angles (deg): 72.53 90.00 90.00
Element x y z (fractional)
1 Br 0.000 0.000 0.000
2 Br 0.500 0.000 0.500
3 Rh 0.000 0.500 0.500
4 Pm 0.000 0.304 0.239
5 Pm 0.500 0.305 0.729
6 Pm 0.500 0.695 0.271
7 Pm 0.000 0.696 0.761
8 Pt 0.500 0.500 0.000

Summary:
Energy ... -5.64 eV/atom

---

VASP calculation (PBE) on Pm6Pt2RhBr3 after structural relaxation.

a b c (Å): 4.169 9.098 10.013
angles (deg): 109.68 102.02 90.00
Element x y z (fractional)
1 Pm 0.323 0.444 0.646
2 Pm 0.348 0.891 0.696
3 Pm 0.652 0.109 0.304
4 Pm 0.677 0.556 0.354
5 Pm 0.011 0.217 0.022
6 Pm 0.989 0.783 0.978
7 Rh 0.500 0.000 0.000
8 Pt 0.833 0.665 0.666
9 Pt 0.167 0.335 0.334
10 Br 0.834 0.169 0.667
11 Br 0.500 0.500 0.000
12 Br 0.166 0.831 0.333

Summary:
Energy ... -5.61 eV/atom

---

How do the records compare in Fermi-level density of states? In the order shown, they have 3.69, 2.99, 3.00, 2.87, 5.83, 3.54, 12.63, 5.02, 1.63, 6.23, 4.54, 8.62 states/eV per cell.
How do the records compare in mass density? In the order shown, they have 7.44, 8.12, 7.89, 7.98, 7.21, 9.10, 7.60, 6.15, 6.55, 7.20, 7.44, 7.63 g cm⁻³.